Record 1
Material: ErZrCoPt
Method: DFT, PBE
State: optimized geometry

Fermi-level density of states ... 0.806 states/eV/atom
Raw total energy ... -28.734 eV/cell
Magnetization ... 0.7 μB/cell
Calculated formation energy ... -0.62 eV per atom

Cell lengths 4.726, 4.726, 4.726 Å; angles 60.00, 60.00, 60.00 degrees
Fractional positions:
Er (0.000, 0.000, 0.000)
Zr (0.500, 0.500, 0.500)
Co (0.250, 0.250, 0.250)
Pt (0.750, 0.750, 0.750)


Record 2
Material: ReSiTc
Method: DFT, PBE
State: optimized geometry

Fermi-level density of states ... 0.553 states/eV/atom
Energy above the most stable polymorph in this dataset ... 335.6 meV per atom
Raw total energy ... -28.179 eV/cell
Uncorrected formation energy ... 19 meV per atom
Magnetization ... 0.0 μB/cell

Cell lengths 4.113, 4.113, 4.113 Å; angles 60.00, 60.00, 60.00 degrees
Fractional positions:
Re (0.000, 0.000, 0.000)
Si (0.500, 0.500, 0.500)
Tc (0.750, 0.750, 0.750)


Record 3
Material: Sc2CoHg
Method: DFT, PBE
State: optimized geometry

Fermi-level density of states ... 1.345 states/eV/atom
Raw total energy ... -20.378 eV/cell
Magnetization ... 0.2 μB/cell
Calculated formation energy ... -0.08 eV per atom

Cell lengths 4.639, 4.639, 4.639 Å; angles 60.00, 60.00, 60.00 degrees
Fractional positions:
Sc (0.000, 0.000, 0.000)
Sc (0.250, 0.250, 0.250)
Co (0.500, 0.500, 0.500)
Hg (0.750, 0.750, 0.750)


Record 4
Material: Yb2Tl
Method: DFT, PBE
State: optimized geometry

Fermi-level density of states ... 9.210 states/eV/atom
Raw total energy ... -26.368 eV/cell
Magnetization ... 1.5 μB/cell
Calculated formation energy ... -0.39 eV per atom

Cell lengths 7.036, 5.262, 9.846 Å; angles 90.00, 90.00, 90.00 degrees
Fractional positions:
Yb (0.034, 0.250, 0.207)
Yb (0.176, 0.250, 0.568)
Yb (0.324, 0.750, 0.068)
Yb (0.466, 0.750, 0.707)
Yb (0.534, 0.250, 0.293)
Yb (0.676, 0.250, 0.932)
Yb (0.824, 0.750, 0.432)
Yb (0.966, 0.750, 0.793)
Tl (0.218, 0.250, 0.892)
Tl (0.282, 0.750, 0.392)
Tl (0.718, 0.250, 0.608)
Tl (0.782, 0.750, 0.108)


Record 5
Material: SrHfSeBr2
Method: DFT, PBE
State: optimized geometry

Fermi-level density of states ... 1.219 states/eV/atom
Energy above the most stable polymorph in this dataset ... 945.6 meV per atom
Raw total energy ... -18.882 eV/cell
Uncorrected formation energy ... -83 meV per atom
Magnetization ... 0.0 μB/cell

Cell lengths 5.584, 5.584, 6.030 Å; angles 90.00, 90.00, 90.00 degrees
Fractional positions:
Sr (0.000, 0.000, 0.000)
Hf (0.500, 0.500, 0.500)
Se (0.000, 0.000, 0.500)
Br (0.000, 0.500, 0.000)
Br (0.500, 0.000, 0.000)


Record 6
Material: SbTeAu2
Method: DFT, PBE
State: optimized geometry

Fermi-level density of states ... 0.631 states/eV/atom
Energy above the most stable polymorph in this dataset ... 95.4 meV per atom
Raw total energy ... -27.179 eV/cell
Uncorrected formation energy ... 57 meV per atom
Magnetization ... 0.0 μB/cell

Cell lengths 7.122, 7.122, 7.122 Å; angles 123.82, 123.82, 83.50 degrees
Fractional positions:
Sb (0.000, 0.000, 0.000)
Sb (0.750, 0.250, 0.500)
Te (0.250, 0.750, 0.500)
Te (0.500, 0.500, 0.000)
Au (0.119, 0.625, 0.994)
Au (0.375, 0.369, 0.494)
Au (0.631, 0.125, 0.006)
Au (0.875, 0.881, 0.506)


Question: Which of these has the highest magnetization?
Answer: Yb2Tl


Question: Which of these has the highest magnetization?
Answer: Yb2Tl